[1]
Computed, not measured: a geometry-optimized Ac2H7Pt2 structure at the PBE level of DFT.

abc: 6.095 6.095 3.951
angles: 99.25 99.25 100.58
Positions (direct):
Ac 0.235 0.765 0.000
Ac 0.765 0.235 0.000
H 0.000 0.000 0.500
H 0.161 0.464 0.408
H 0.430 0.430 0.897
H 0.464 0.161 0.408
H 0.536 0.839 0.592
H 0.570 0.570 0.103
H 0.839 0.536 0.592
Pt 0.233 0.233 0.571
Pt 0.767 0.767 0.429

Its crystal system is monoclinic.

=====

[2]
Computed, not measured: a geometry-optimized CsUSnCl6 structure at the PBE level of DFT.

abc: 10.256 10.256 10.256
angles: 121.97 118.99 89.19
Positions (direct):
Cs 0.325 0.075 0.250
Cs 0.675 0.925 0.750
U 0.000 0.500 0.500
U 0.500 0.500 0.000
Sn 0.000 0.000 0.500
Sn 0.000 0.500 0.000
Cl 0.082 0.420 0.256
Cl 0.082 0.826 0.662
Cl 0.089 0.839 0.250
Cl 0.314 0.564 0.750
Cl 0.336 0.174 0.756
Cl 0.336 0.580 0.162
Cl 0.664 0.420 0.838
Cl 0.664 0.826 0.244
Cl 0.686 0.436 0.250
Cl 0.911 0.161 0.750
Cl 0.918 0.174 0.338
Cl 0.918 0.580 0.744

Its crystal system is orthorhombic. The formation energy (no corrections) comes out at -1498 meV per atom.

=====

[3]
Computed, not measured: a geometry-optimized PaSBr2O6 structure at the PBE level of DFT.

abc: 4.936 6.714 6.815
angles: 119.39 98.80 90.32
Positions (direct):
Pa 0.000 0.000 0.000
S 0.269 0.464 0.925
Br 0.468 0.843 0.684
Br 0.495 0.220 0.437
O 0.136 0.331 0.020
O 0.136 0.690 0.020
O 0.178 0.337 0.672
O 0.562 0.504 0.004
O 0.754 0.118 0.234
O 0.968 0.834 0.666

Its crystal system is triclinic. The formation energy (no corrections) comes out at -1506 meV per atom.

=====

[4]
Computed, not measured: a geometry-optimized InCu2Tc structure at the PBE level of DFT.

abc: 4.415 4.415 4.415
angles: 60.00 60.00 60.00
Positions (direct):
In 0.000 0.000 0.000
Cu 0.500 0.500 0.500
Cu 0.750 0.750 0.750
Tc 0.250 0.250 0.250

Its crystal system is cubic. Its energy of formation is 365 meV/atom.

=====

[5]
Computed, not measured: a geometry-optimized YBe2Os structure at the PBE level of DFT.

abc: 4.494 4.494 4.494
angles: 126.17 126.17 79.61
Positions (direct):
Y 0.000 0.000 0.000
Be 0.250 0.750 0.500
Be 0.750 0.250 0.500
Os 0.500 0.500 0.000

Its crystal system is tetragonal. The energy relative to the lowest polymorph listed for this composition is 244 meV/atom. Its energy of formation is 26 meV/atom.

=====

[6]
Computed, not measured: a geometry-optimized LiCaGaGe structure at the PBE level of DFT.

abc: 4.900 4.900 4.900
angles: 60.00 60.00 60.00
Positions (direct):
Li 0.000 0.000 0.000
Ca 0.500 0.500 0.500
Ga 0.750 0.750 0.750
Ge 0.250 0.250 0.250

Its crystal system is cubic. Its energy of formation is -344 meV/atom.

=====

We obtain final energy values of -48.05; -81.41; -61.77; -19.84; -25.04; -12.94 eV for the cell shown for the records listed above, in that order.